--- i ---
The following is a PBE calculation of a relaxed structure of GeAs2F, from Alexandria via LeMat-Bulk.

Cell and atoms, written as POSCAR:
```
GeAs2F
1.0
4.004 0.000 0.000
0.000 8.176 -1.728
0.000 -2.498 11.487
F As Ge
4 8 4
Direct
0.710 0.866 0.184
0.290 0.134 0.816
0.790 0.366 0.684
0.210 0.634 0.316
0.368 0.610 0.600
0.240 0.028 0.438
0.868 0.890 0.900
0.632 0.390 0.400
0.132 0.110 0.100
0.760 0.972 0.562
0.260 0.528 0.938
0.740 0.472 0.062
0.536 0.160 0.953
0.464 0.840 0.047
0.036 0.340 0.547
0.964 0.660 0.453
```

Computed properties:
Density (g cm⁻³): 4.5
Space-group type: P2_1/c (14)
Volume (Å³/cell): 358.75



--- ii ---
The following is a PBE calculation of a relaxed structure of GeAs2F, from Alexandria via LeMat-Bulk.

Cell and atoms, written as POSCAR:
```
GeAs2F
1.0
6.016 0.000 0.000
0.000 6.016 0.000
3.008 3.008 5.048
As F Ge
4 2 2
Direct
0.875 0.863 0.750
0.375 0.387 0.750
0.613 0.125 0.250
0.137 0.625 0.250
0.500 0.500 0.000
0.250 0.750 0.500
0.750 0.250 0.500
0.000 0.000 0.000
```

Computed properties:
Density (g cm⁻³): 4.4
Space-group type: I-42d (122)
Volume (Å³/cell): 182.68



--- iii ---
The following is a PBE calculation of a relaxed structure of GeAs2F, from Alexandria via LeMat-Bulk.

Cell and atoms, written as POSCAR:
```
GeAs2F
1.0
0.000 3.193 3.193
3.193 0.000 3.193
3.193 3.193 0.000
As F Ge
2 1 1
Direct
0.750 0.750 0.750
0.250 0.250 0.250
0.000 0.000 0.000
0.500 0.500 0.500
```

Computed properties:
Density (g cm⁻³): 6.2
Space-group type: Fm-3m (225)
Volume (Å³/cell): 65.11



It is ii that is the least stable of them.



--- i ---
The following is a PBE calculation of a relaxed structure of GeAsF3, from Alexandria via LeMat-Bulk.

Cell and atoms, written as POSCAR:
```
GeAsF3
1.0
4.357 0.000 0.000
0.000 4.357 0.000
0.000 0.000 4.357
As F Ge
1 3 1
Direct
0.000 0.000 0.000
0.000 0.500 0.000
0.500 0.000 0.000
0.000 0.000 0.500
0.500 0.500 0.500
```

Computed properties:
Density (g cm⁻³): 4.1
Space-group type: Pm-3m (221)
Volume (Å³/cell): 82.69



--- ii ---
The following is a PBE calculation of a relaxed structure of GeAsF3, from Alexandria via LeMat-Bulk.

Cell and atoms, written as POSCAR:
```
GeAsF3
1.0
4.363 0.000 0.000
0.000 4.363 0.000
0.000 0.000 4.363
Ge F As
1 3 1
Direct
0.000 0.000 0.000
0.000 0.500 0.000
0.500 0.000 0.000
0.000 0.000 0.500
0.500 0.500 0.500
```

Computed properties:
Density (g cm⁻³): 4.1
Space-group type: Pm-3m (221)
Volume (Å³/cell): 83.05



It is i that is the least stable of them.